An optimized crystal structure of BaZr2Cu. Source: Alexandria via LeMat-Bulk, functional PBE.

The structure in POSCAR format:
```
BaZr2Cu
1.0
-2.652 2.652 9.555
2.652 -2.652 9.555
2.652 2.652 -9.555
Ba Zr Cu
2 4 2
Cartesian
2.652 1.326 2.389
0.000 1.326 7.166
0.000 0.000 0.000
1.326 1.326 -4.777
1.326 -1.326 4.777
0.000 2.652 0.000
2.652 -1.326 7.166
0.000 3.977 2.389
```

The calculation puts the density of states at the Fermi level at 7.615 states/eV/f.u. The space-group type is I4_1/amd (141). The calculation puts the formation energy at 0.84 eV per atom. For the raw total energy, the calculation gives -4.940 eV per atom. The value obtained for the relative energy among the computed polymorphs is 695 meV/atom.

An optimized crystal structure of Rb2Na3CdHg4. Source: Alexandria via LeMat-Bulk, functional PBE.

The structure in POSCAR format:
```
Rb2Na3CdHg4
1.0
5.072 0.000 0.000
0.000 5.072 0.000
0.000 0.000 13.460
Rb Na Cd Hg
2 3 1 4
Cartesian
0.000 2.536 3.240
2.536 0.000 10.220
0.000 0.000 0.000
0.000 2.536 8.565
2.536 0.000 4.895
2.536 2.536 0.000
0.000 0.000 6.730
0.000 2.536 11.671
2.536 0.000 1.789
2.536 2.536 6.730
```

The calculation puts the density of states at the Fermi level at 4.319 states/eV/f.u. The space-group type is P-4m2 (115). The calculation puts the formation energy at -0.17 eV per atom. For the raw total energy, the calculation gives -0.973 eV per atom.

An optimized crystal structure of BeV2B. Source: Alexandria via LeMat-Bulk, functional PBE.

The structure in POSCAR format:
```
BeV2B
1.0
0.000 2.709 2.709
2.709 0.000 2.709
2.709 2.709 0.000
Be V B
1 2 1
Cartesian
0.000 0.000 0.000
1.355 1.355 1.355
4.064 4.064 4.064
2.709 2.709 2.709
```

The calculation puts the density of states at the Fermi level at 2.055 states/eV/f.u. The space-group type is Fm-3m (225). The calculation puts the formation energy at 0.01 eV per atom. For the raw total energy, the calculation gives -7.146 eV per atom. The value obtained for the relative energy among the computed polymorphs is 71 meV/atom.